No. 1
Density functional theory data (PBE) for an optimized crystal structure of FePdPbW.

a b c (Å): 6.454 6.454 6.454
angles (deg): 90.00 90.00 90.00
Space group F-43m (No. 216)
Asymmetric unit:
Fe: 0.000 0.000 0.000 x4
Pd: 0.250 0.250 0.250 x4
Pb: 0.250 0.250 0.750 x4
W: 0.000 0.000 0.500 x4

Computed properties:
As for the offset from the most stable computed form: 89 meV per atom.

=====

No. 2
Density functional theory data (PBE) for an optimized crystal structure of PmHfMg.

a b c (Å): 7.070 7.070 7.070
angles (deg): 90.00 90.00 90.00
Space group F-43m (No. 216)
Asymmetric unit:
Pm: 0.000 0.000 0.000 x4
Hf: 0.000 0.000 0.500 x4
Mg: 0.250 0.250 0.750 x4

Computed properties:
As for the offset from the most stable computed form: 0 meV per atom.

=====

No. 3
Density functional theory data (PBE) for an optimized crystal structure of ScFeB4.

a b c (Å): 5.761 11.125 3.223
angles (deg): 90.00 90.00 90.00
Space group Pbam (No. 55)
Asymmetric unit:
Sc: 0.129 0.150 0.000 x4
Fe: 0.134 0.411 0.000 x4
B: 0.023 0.694 0.500 x4
B: 0.114 0.548 0.500 x4
B: 0.135 0.969 0.500 x4
B: 0.212 0.815 0.500 x4

Computed properties:
The uncorrected energy is -7.5622 eV/atom.

=====

No. 4
Density functional theory data (PBE) for an optimized crystal structure of ZnCoReSi.

a b c (Å): 5.863 5.863 5.863
angles (deg): 90.00 90.00 90.00
Space group F-43m (No. 216)
Asymmetric unit:
Zn: 0.000 0.000 0.000 x4
Co: 0.250 0.250 0.750 x4
Re: 0.250 0.250 0.250 x4
Si: 0.000 0.000 0.500 x4

Computed properties:
As for the offset from the most stable computed form: 0 meV per atom.

=====

No. 5
Density functional theory data (PBE) for an optimized crystal structure of CsZrAuS3.

a b c (Å): 13.966 3.888 11.725
angles (deg): 90.00 90.00 90.00
Space group Pnma (No. 62)
Asymmetric unit:
Cs: 0.158 0.250 0.005 x4
Zr: 0.036 0.750 0.639 x4
Au: 0.204 0.750 0.254 x4
S: 0.034 0.750 0.234 x4
S: 0.105 0.250 0.513 x4
S: 0.185 0.750 0.757 x4

Computed properties:
As for the offset from the most stable computed form: 49 meV per atom.

=====

No. 6
Density functional theory data (PBE) for an optimized crystal structure of YAlHgTe3.

a b c (Å): 4.251 17.104 11.777
angles (deg): 90.00 90.00 90.00
Space group Cmcm (No. 63)
Asymmetric unit:
Y: 0.000 0.000 0.000 x4
Al: 0.000 0.455 0.250 x4
Hg: 0.000 0.261 0.750 x4
Te: 0.000 0.059 0.250 x4
Te: 0.000 0.376 0.061 x8

Computed properties:
The uncorrected energy is -4.0829 eV/atom.

=====

No. 7
Density functional theory data (PBE) for an optimized crystal structure of YMgAgTe2Se.

a b c (Å): 4.122 13.953 10.951
angles (deg): 90.00 90.00 90.00
Space group Cmcm (No. 63)
Asymmetric unit:
Y: 0.000 0.000 0.000 x4
Mg: 0.000 0.254 0.250 x4
Ag: 0.000 0.484 0.750 x4
Te: 0.000 0.346 0.569 x8
Se: 0.000 0.108 0.750 x4

Computed properties:
The uncorrected energy is -4.2892 eV/atom.

=====

No. 8
Density functional theory data (PBE) for an optimized crystal structure of BaZnSO.

a b c (Å): 6.163 3.967 13.017
angles (deg): 90.00 90.00 90.00
Space group Pnma (No. 62)
Asymmetric unit:
Ba: 0.243 0.250 0.142 x4
Zn: 0.240 0.750 0.348 x4
S: 0.246 0.250 0.443 x4
O: 0.014 0.250 0.747 x4

Computed properties:
The uncorrected energy is -4.8444 eV/atom.

=====

Question: Number 4 is which compound?
Answer: ZnCoReSi